VASP calculation (PBE) on Cu2ReTc after structural relaxation.

Unit cell a=4.820 b=4.820 c=4.820 alpha=135.86 beta=135.49 gamma=64.49
Fractional coordinates of all 4 atoms:
Cu  0.500  0.500  0.000
Re  0.750  0.250  0.500
Cu  0.000  0.000  0.000
Tc  0.250  0.750  0.500

Output
Mass density: 12.67 g cm⁻³
Formation energy: 300 meV/atom
Energy above the lowest structure with this stoichiometry: 160 meV per atom
Symmetry: Immm (71)
Volume: 13.5 Å³ per atom
Total moment: 0.0 μB/f.u.